1.
DFT (PBE) results for crystalline Ac2Zn4GaPt3 at its relaxed geometry.

Unit cell a=4.3499 b=4.3499 c=10.9400 alpha=90.00 beta=90.00 gamma=90.00
Closest atoms and distances in Å follow each position.
Fractional coordinates of all 10 atoms:
Ac1 0.0000 0.5000 0.2486  6 Pt 3.33-3.48, 8 Zn 3.35-3.51, 2 Ga 3.48
Ac2 0.5000 0.0000 0.7514  6 Pt 3.33-3.48, 8 Zn 3.35-3.51, 2 Ga 3.48
Zn1 0.0000 0.0000 0.5000  4 Pt 2.63
Zn2 0.0000 0.5000 0.8716  3 Pt 2.59, 2 Ga 2.59
Zn3 0.5000 0.0000 0.1284  3 Pt 2.59, 2 Ga 2.59
Zn4 0.5000 0.5000 0.5000  4 Pt 2.63
Ga1 0.5000 0.5000 0.0000  4 Zn 2.59
Pt1 0.0000 0.0000 0.0000  4 Zn 2.59
Pt2 0.0000 0.5000 0.6352  5 Zn 2.59-2.63
Pt3 0.5000 0.0000 0.3648  5 Zn 2.59-2.63

Properties
Symmetry: No. 115

---

2.
DFT (PBE) results for crystalline Ac2ZnGaPt6 at its relaxed geometry.

Unit cell a=8.3042 b=8.3042 c=8.3042 alpha=41.06 beta=41.06 gamma=41.06
Closest atoms and distances in Å follow each position.
Fractional coordinates of all 10 atoms:
Ac1 0.2113 0.2113 0.2113  6 Pt 3.07
Ac2 0.7887 0.7887 0.7887  6 Pt 3.07
Zn1 0.5000 0.5000 0.5000  6 Pt 2.57
Ga1 0.0000 0.0000 0.0000  6 Pt 2.50
Pt1 0.2509 0.2509 0.7358  1 Ga 2.50, 1 Zn 2.57
Pt2 0.2509 0.7358 0.2509  1 Ga 2.50, 1 Zn 2.57
Pt3 0.2642 0.7491 0.7491  1 Ga 2.50, 1 Zn 2.57
Pt4 0.7358 0.2509 0.2509  1 Ga 2.50, 1 Zn 2.57
Pt5 0.7491 0.2642 0.7491  1 Ga 2.50, 1 Zn 2.57
Pt6 0.7491 0.7491 0.2642  1 Ga 2.50, 1 Zn 2.57

Properties
Symmetry: No. 166

---

3.
DFT (PBE) results for crystalline Ac2Zn3Ga4Pt at its relaxed geometry.

Unit cell a=4.4448 b=4.4448 c=10.6633 alpha=90.00 beta=90.00 gamma=90.00
Closest atoms and distances in Å follow each position.
Fractional coordinates of all 10 atoms:
Ac1 0.0000 0.5000 0.2452  8 Ga 3.39-3.51, 6 Zn 3.41-3.43, 2 Pt 3.43
Ac2 0.5000 0.0000 0.7548  8 Ga 3.39-3.51, 6 Zn 3.41-3.43, 2 Pt 3.43
Zn1 0.0000 0.0000 0.0000  4 Ga 2.59
Zn2 0.0000 0.5000 0.6316  5 Ga 2.59-2.63
Zn3 0.5000 0.0000 0.3684  5 Ga 2.59-2.63
Ga1 0.0000 0.0000 0.5000  4 Zn 2.63
Ga2 0.0000 0.5000 0.8744  3 Zn 2.59, 2 Pt 2.59
Ga3 0.5000 0.0000 0.1256  3 Zn 2.59, 2 Pt 2.59
Ga4 0.5000 0.5000 0.5000  4 Zn 2.63
Pt1 0.5000 0.5000 0.0000  4 Ga 2.59

Properties
Symmetry: No. 115

---

4.
DFT (PBE) results for crystalline Ac3ZnGa2Pt9 at its relaxed geometry.

Unit cell a=7.4866 b=7.4866 c=6.7690 alpha=90.00 beta=90.00 gamma=120.00
Closest atoms and distances in Å follow each position.
Fractional coordinates of all 15 atoms:
Ac1 0.0000 0.0000 0.0000  6 Pt 3.13, 2 Zn 3.38
Ac2 0.3333 0.6667 0.6654  6 Pt 3.11-3.13, 2 Ga 3.38-3.39
Ac3 0.6667 0.3333 0.3346  6 Pt 3.11-3.13, 2 Ga 3.38-3.39
Zn1 0.0000 0.0000 0.5000  6 Pt 2.44
Ga1 0.3333 0.6667 0.1667  6 Pt 2.43-2.44
Ga2 0.6667 0.3333 0.8333  6 Pt 2.43-2.44
Pt1 0.0000 0.5000 0.0000  2 Ga 2.44
Pt2 0.1673 0.3347 0.3341  1 Ga 2.43, 1 Zn 2.44
Pt3 0.1673 0.8327 0.3341  1 Ga 2.43, 1 Zn 2.44
Pt4 0.3347 0.1673 0.6659  1 Ga 2.43, 1 Zn 2.44
Pt5 0.5000 0.0000 0.0000  2 Ga 2.44
Pt6 0.5000 0.5000 0.0000  2 Ga 2.44
Pt7 0.6653 0.8327 0.3341  1 Ga 2.43, 1 Zn 2.44
Pt8 0.8327 0.1673 0.6659  1 Ga 2.43, 1 Zn 2.44
Pt9 0.8327 0.6653 0.6659  1 Ga 2.43, 1 Zn 2.44

Properties
Symmetry: No. 164

---

5.
DFT (PBE) results for crystalline Ac3ZnGa2Pt6 at its relaxed geometry.

Unit cell a=5.8726 b=5.8726 c=9.3946 alpha=90.00 beta=90.00 gamma=120.00
Closest atoms and distances in Å follow each position.
Fractional coordinates of all 12 atoms:
Ac1 0.0000 0.0000 0.0000  6 Pt 3.20, 6 Ga 3.48
Ac2 0.3333 0.6667 0.6142  6 Pt 3.08
Ac3 0.6667 0.3333 0.3858  6 Pt 3.08
Zn1 0.0000 0.0000 0.5000  6 Pt 2.62
Ga1 0.3333 0.6667 0.0818  3 Pt 2.57
Ga2 0.6667 0.3333 0.9182  3 Pt 2.57
Pt1 0.1671 0.3342 0.2883  1 Ga 2.57, 1 Zn 2.62
Pt2 0.1671 0.8329 0.2883  1 Ga 2.57, 1 Zn 2.62
Pt3 0.3342 0.1671 0.7117  1 Ga 2.57, 1 Zn 2.62
Pt4 0.6658 0.8329 0.2883  1 Ga 2.57, 1 Zn 2.62
Pt5 0.8329 0.1671 0.7117  1 Ga 2.57, 1 Zn 2.62
Pt6 0.8329 0.6658 0.7117  1 Ga 2.57, 1 Zn 2.62

Properties
Symmetry: No. 164

---

6.
DFT (PBE) results for crystalline AcZnGa3Pt at its relaxed geometry.

Unit cell a=7.6255 b=7.6255 c=6.3651 alpha=90.00 beta=90.00 gamma=130.06
Closest atoms and distances in Å follow each position.
Fractional coordinates of all 12 atoms:
Ac1 0.2051 0.7949 0.7500  4 Ga 3.19-3.37, 2 Zn 3.49, 1 Pt 3.54
Ac2 0.7949 0.2051 0.2500  4 Ga 3.19-3.37, 2 Zn 3.49, 1 Pt 3.54
Zn1 0.3921 0.6079 0.2500  5 Ga 2.35-2.58
Zn2 0.6079 0.3921 0.7500  5 Ga 2.35-2.58
Ga1 0.2221 0.7779 0.2500  1 Zn 2.35, 1 Pt 2.37
Ga2 0.2852 0.2852 0.0000  2 Pt 2.53, 2 Zn 2.58, 1 Ga 2.77
Ga3 0.2852 0.2852 0.5000  2 Pt 2.53, 2 Zn 2.58, 1 Ga 2.77
Ga4 0.7148 0.7148 0.0000  2 Pt 2.53, 2 Zn 2.58, 1 Ga 2.77
Ga5 0.7148 0.7148 0.5000  2 Pt 2.53, 2 Zn 2.58, 1 Ga 2.77
Ga6 0.7779 0.2221 0.7500  1 Zn 2.35, 1 Pt 2.37
Pt1 0.0509 0.9491 0.2500  5 Ga 2.37-2.53
Pt2 0.9491 0.0509 0.7500  5 Ga 2.37-2.53

Properties
Symmetry: No. 63

---

7.
DFT (PBE) results for crystalline Ac2ZrGa12Pt3 at its relaxed geometry.

Unit cell a=10.5062 b=10.5062 c=10.5062 alpha=37.49 beta=37.49 gamma=37.49
Closest atoms and distances in Å follow each position.
Fractional coordinates of all 18 atoms:
Ac1 0.1463 0.1463 0.1463  12 Ga 3.37-3.74
Ac2 0.8537 0.8537 0.8537  12 Ga 3.37-3.74
Zr1 0.5000 0.5000 0.5000  6 Ga 2.74
Ga1 0.0916 0.0916 0.6816  2 Pt 2.52, 4 Ga 2.65-2.77
Ga2 0.0916 0.6816 0.0916  2 Pt 2.52, 4 Ga 2.65-2.77
Ga3 0.1399 0.5687 0.5687  4 Ga 2.65-2.90, 1 Pt 2.72, 1 Zr 2.74
Ga4 0.3184 0.9084 0.9084  2 Pt 2.52, 4 Ga 2.65-2.77
Ga5 0.4313 0.4313 0.8601  4 Ga 2.65-2.90, 1 Pt 2.72, 1 Zr 2.74
Ga6 0.4313 0.8601 0.4313  4 Ga 2.65-2.90, 1 Pt 2.72, 1 Zr 2.74
Ga7 0.5687 0.1399 0.5687  4 Ga 2.65-2.90, 1 Pt 2.72, 1 Zr 2.74
Ga8 0.5687 0.5687 0.1399  4 Ga 2.65-2.90, 1 Pt 2.72, 1 Zr 2.74
Ga9 0.6816 0.0916 0.0916  2 Pt 2.52, 4 Ga 2.65-2.77
Ga10 0.8601 0.4313 0.4313  4 Ga 2.65-2.90, 1 Pt 2.72, 1 Zr 2.74
Ga11 0.9084 0.3184 0.9084  2 Pt 2.52, 4 Ga 2.65-2.77
Ga12 0.9084 0.9084 0.3184  2 Pt 2.52, 4 Ga 2.65-2.77
Pt1 0.0000 0.5000 0.5000  6 Ga 2.52-2.72
Pt2 0.5000 0.0000 0.5000  6 Ga 2.52-2.72
Pt3 0.5000 0.5000 0.0000  6 Ga 2.52-2.72

Properties
Symmetry: No. 166

---

8.
DFT (PBE) results for crystalline Ac2PuGa at its relaxed geometry.

Unit cell a=12.1591 b=12.1591 c=12.1591 alpha=17.78 beta=17.78 gamma=17.78
Closest atoms and distances in Å follow each position.
Fractional coordinates of all 4 atoms:
Ac1 0.0998 0.0998 0.0998  3 Ga 3.24, 1 Pu 3.58
Ac2 0.9002 0.9002 0.9002  3 Ga 3.24, 1 Pu 3.58
Pu1 0.0000 0.0000 0.0000  2 Ac 3.58, 6 Pu 3.76
Ga1 0.5000 0.5000 0.5000  6 Ac 3.24

Properties
Excess energy over the best structure of this formula in the dataset (meV per atom): 290
Symmetry: No. 166

---

9.
DFT (PBE) results for crystalline Ac2PuGa7 at its relaxed geometry.

Unit cell a=4.5154 b=4.5154 c=11.6612 alpha=90.00 beta=90.00 gamma=90.00
Closest atoms and distances in Å follow each position.
Fractional coordinates of all 10 atoms:
Ac1 0.0000 0.5000 0.2332  14 Ga 3.44-3.84, 2 Pu 3.84
Ac2 0.5000 0.0000 0.7668  14 Ga 3.44-3.84, 2 Pu 3.84
Pu1 0.0000 0.0000 0.5000  8 Ga 2.91-3.19
Ga1 0.0000 0.0000 0.0000  4 Ga 2.66
Ga2 0.0000 0.5000 0.6574  1 Ga 2.58
Ga3 0.0000 0.5000 0.8789  5 Ga 2.58-2.66
Ga4 0.5000 0.0000 0.1211  5 Ga 2.58-2.66
Ga5 0.5000 0.0000 0.3426  1 Ga 2.58
Ga6 0.5000 0.5000 0.0000  4 Ga 2.66
Ga7 0.5000 0.5000 0.5000  4 Ga 2.91, 4 Pu 3.19

Properties
Symmetry: No. 115

---

10.
DFT (PBE) results for crystalline Ac2PuGa at its relaxed geometry.

Unit cell a=5.3423 b=5.3423 c=4.5021 alpha=90.00 beta=90.00 gamma=90.00
Closest atoms and distances in Å follow each position.
Fractional coordinates of all 4 atoms:
Ac1 0.0000 0.5000 0.0000  4 Ga 3.49, 4 Pu 3.49, 4 Ac 3.78
Ac2 0.5000 0.0000 0.0000  4 Ga 3.49, 4 Pu 3.49, 4 Ac 3.78
Pu1 0.0000 0.0000 0.5000  8 Ac 3.49, 4 Ga 3.78
Ga1 0.5000 0.5000 0.5000  8 Ac 3.49, 4 Pu 3.78

Properties
Excess energy over the best structure of this formula in the dataset (meV per atom): 52
Symmetry: No. 123

---

11.
DFT (PBE) results for crystalline Ac2PuGa at its relaxed geometry.

Unit cell a=3.9058 b=3.9058 c=8.8477 alpha=90.00 beta=90.00 gamma=90.00
Closest atoms and distances in Å follow each position.
Fractional coordinates of all 4 atoms:
Ac1 0.0000 0.0000 0.2151  4 Ga 3.35, 4 Pu 3.74
Ac2 0.0000 0.0000 0.7849  4 Ga 3.35, 4 Pu 3.74
Pu1 0.5000 0.5000 0.5000  8 Ac 3.74, 4 Pu 3.91
Ga1 0.5000 0.5000 0.0000  8 Ac 3.35

Properties
Excess energy over the best structure of this formula in the dataset (meV per atom): 0
Symmetry: No. 123

---

12.
DFT (PBE) results for crystalline AcPu2Ga4 at its relaxed geometry.

Unit cell a=6.0377 b=6.0377 c=6.0377 alpha=99.05 beta=99.05 gamma=133.27
Closest atoms and distances in Å follow each position.
Fractional coordinates of all 7 atoms:
Ac1 0.0000 0.0000 0.0000  12 Ga 3.28-3.30
Pu1 0.2500 0.7500 0.5000  2 Pu 2.39
Pu2 0.7500 0.2500 0.5000  2 Pu 2.39
Ga1 0.2981 0.2981 0.5962  2 Ga 2.62
Ga2 0.2981 0.7019 0.0000  2 Ga 2.62
Ga3 0.7019 0.2981 0.0000  2 Ga 2.62
Ga4 0.7019 0.7019 0.4038  2 Ga 2.62

Properties
Symmetry: No. 139

---

It is found that the formation energy values, taken in the order of the records, are -713, -754, -572, -616, -838, -358, -335, 230, -402, -8, -61, -239 meV per atom.
It is found that the calculated total energy values, taken in the order of the records, are -41.59, -56.30, -35.91, -83.26, -65.95, -45.30, -77.24, -24.66, -47.76, -25.61, -25.82, -46.55 eV per cell.